Here is a PBEsol-optimized structure of ScIn2Hg from Alexandria via LeMat-Bulk. Energies are from SCAN.

```
data_ScIn2Hg
_cell_length_a 6.232
_cell_length_b 8.451
_cell_length_c 3.365
_cell_angle_alpha 90.00
_cell_angle_beta 90.00
_cell_angle_gamma 90.00
_symmetry_space_group_name_H-M 'C m m m'
_symmetry_Int_Tables_number 65
_symmetry_space_group_name_Hall '-C 2 2'
loop_
_atom_site_label
_atom_site_type_symbol
_atom_site_fract_x
_atom_site_fract_y
_atom_site_fract_z
Sc1 Sc 0.000 0.000 0.000
In1 In 0.250 0.250 0.500
Hg1 Hg 0.000 0.500 0.000
```

For the calculated formation energy, the calculation gives -321 meV per atom. Its calculated volume is 22.15 Å³ per atom.